First-principles (SCAN) data for Cs2P3 at its PBEsol-relaxed geometry, as listed in Alexandria via LeMat-Bulk.

Values from the calculation:
The total energy comes out at -21.950 eV per atom. The calculation puts the calculated formation energy at -2.932 eV per formula unit. The value obtained for the magnetization is 0.0 μB per formula unit.

Geometry as POSCAR:
```
Cs2P3
1.0
0.000 4.933 7.482
4.671 0.000 7.482
4.671 4.933 0.000
Cs P
4 6
direct
0.217 0.783 0.217
0.250 0.250 0.250
0.750 0.750 0.750
0.783 0.217 0.783
0.229 0.627 0.771
0.355 0.355 0.645
0.373 0.771 0.627
0.627 0.229 0.373
0.645 0.645 0.355
0.771 0.373 0.229
```